(1)
# GGA-PBE NaLuAgSb, optimized geometry
# Formation energy from raw total energies = -0.397 eV per atom
# Total moment = 0.0 μB/cell
# Fermi-level density of states = 0.301 states/eV per atom
data_NaLuAgSb
_chemical_formula_sum 'Na4 Lu4 Ag4 Sb4'
_cell_length_a 7.2669
_cell_length_b 7.2669
_cell_length_c 7.2669
_cell_angle_alpha 90.00
_cell_angle_beta 90.00
_cell_angle_gamma 90.00
_symmetry_space_group_name_H-M 'F -4 3 m'
_symmetry_Int_Tables_number 216
_symmetry_space_group_name_Hall 'F -4 2 3'
loop_
_atom_site_label
_atom_site_type_symbol
_atom_site_fract_x
_atom_site_fract_y
_atom_site_fract_z
Na1 Na 0.0000 0.0000 0.0000
Lu1 Lu 0.0000 0.0000 0.5000
Ag1 Ag 0.2500 0.2500 0.7500
Sb1 Sb 0.2500 0.2500 0.2500

=====

(2)
# GGA-PBE LaNdAl2, optimized geometry
# Energy relative to the lowest polymorph listed for this composition = 0.000 eV per formula unit
# Total moment = 0.0 μB/cell
# DFT formation energy = -0.371 eV/atom
# Fermi-level density of states = 1.036 states/eV per atom
data_LaNdAl2
_chemical_formula_sum 'La4 Nd4 Al8'
_cell_length_a 4.7391
_cell_length_b 13.0920
_cell_length_c 7.2173
_cell_angle_alpha 90.00
_cell_angle_beta 90.00
_cell_angle_gamma 90.00
_symmetry_space_group_name_H-M 'C m c m'
_symmetry_Int_Tables_number 63
_symmetry_space_group_name_Hall '-C 2c 2'
loop_
_atom_site_label
_atom_site_type_symbol
_atom_site_fract_x
_atom_site_fract_y
_atom_site_fract_z
La1 La 0.0000 0.0620 0.2500
Nd1 Nd 0.0000 0.2232 0.7500
Al1 Al 0.0000 0.4039 0.0672

=====

(3)
# GGA-PBE Ba2Ca2Ac15, optimized geometry
# Total moment = 0.0 μB/cell
# DFT formation energy = 0.178 eV/atom
# Fermi-level density of states = 1.430 states/eV per atom
data_Ba2Ca2Ac15
_chemical_formula_sum 'Ba6 Ca6 Ac45'
_cell_length_a 12.9996
_cell_length_b 12.9996
_cell_length_c 19.2534
_cell_angle_alpha 90.00
_cell_angle_beta 90.00
_cell_angle_gamma 120.00
_symmetry_space_group_name_H-M 'R -3 m'
_symmetry_Int_Tables_number 166
_symmetry_space_group_name_Hall '-R 3 2"'
loop_
_atom_site_label
_atom_site_type_symbol
_atom_site_fract_x
_atom_site_fract_y
_atom_site_fract_z
Ba1 Ba 0.0000 0.0000 0.1654
Ca1 Ca 0.0000 0.0000 0.4033
Ac1 Ac 0.0000 0.3002 0.5000
Ac2 Ac 0.0000 0.5000 0.0000
Ac3 Ac 0.0028 0.5014 0.6499